#w
# Ag2PbI, relaxed, DFT PBE
# - calculated volume (Å³/cell) = 230.70
# - DOS(E_F) (states/eV per cell) = 1.90
data_Ag2PbI
_chemical_formula_sum 'Ag4 Pb2 I2'
_cell_length_a 4.3949
_cell_length_b 7.1282
_cell_length_c 7.9771
_cell_angle_alpha 112.44
_cell_angle_beta 92.03
_cell_angle_gamma 91.10
_space_group_name_H-M_alt 'P 1'
_space_group_IT_number 1
loop_
_space_group_symop_operation_xyz
'x,y,z'
loop_
_atom_site_label
_atom_site_type_symbol
_atom_site_fract_x
_atom_site_fract_y
_atom_site_fract_z
_atom_site_occupancy
Ag1 Ag 0.0000 0.0000 0.0000 1
Ag2 Ag 0.0250 0.4939 0.2338 1
Ag3 Ag 0.5161 0.2234 0.1931 1
Ag4 Ag 0.5521 0.5698 0.5167 1
Pb1 Pb 0.0351 0.2181 0.4461 1
Pb2 Pb 0.5279 0.8132 0.2624 1
I1 I 0.4697 0.9919 0.7368 1
I2 I 0.8591 0.5587 0.8855 1

#x
# Ag2PbI, relaxed, DFT PBE
# - calculated volume (Å³/cell) = 220.21
# - DOS(E_F) (states/eV per cell) = 2.11
data_Ag2PbI
_chemical_formula_sum 'Ag4 Pb2 I2'
_cell_length_a 6.3047
_cell_length_b 4.5015
_cell_length_c 8.2438
_cell_angle_alpha 90.00
_cell_angle_beta 109.75
_cell_angle_gamma 90.00
_space_group_name_H-M_alt 'P 1 21/m 1'
_space_group_IT_number 11
loop_
_space_group_symop_operation_xyz
'x,y,z'
'-x,-y,-z'
'-x,y+1/2,-z'
'x,-y+1/2,z'
loop_
_atom_site_label
_atom_site_type_symbol
_atom_site_fract_x
_atom_site_fract_y
_atom_site_fract_z
_atom_site_occupancy
Ag1 Ag 0.1427 0.2500 0.0088 1
Ag2 Ag 0.3282 0.7500 0.2324 1
Pb1 Pb 0.3276 0.7500 0.8412 1
I1 I 0.2197 0.2500 0.4331 1

#y
# Ag2PbI, relaxed, DFT PBE
# - calculated volume (Å³/cell) = 218.67
# - DOS(E_F) (states/eV per cell) = 2.64
data_Ag2PbI
_chemical_formula_sum 'Ag4 Pb2 I2'
_cell_length_a 6.7259
_cell_length_b 4.1205
_cell_length_c 8.0680
_cell_angle_alpha 90.00
_cell_angle_beta 102.05
_cell_angle_gamma 90.00
_space_group_name_H-M_alt 'P 1 m 1'
_space_group_IT_number 6
loop_
_space_group_symop_operation_xyz
'x,y,z'
'x,-y,z'
loop_
_atom_site_label
_atom_site_type_symbol
_atom_site_fract_x
_atom_site_fract_y
_atom_site_fract_z
_atom_site_occupancy
Ag1 Ag 0.0000 0.0000 0.0000 1
Ag2 Ag 0.1024 0.5000 0.7696 1
Ag3 Ag 0.2971 0.5000 0.1172 1
Ag4 Ag 0.5015 0.0000 0.3371 1
Pb1 Pb 0.4857 0.0000 0.9274 1
Pb2 Pb 0.8130 0.5000 0.2143 1
I1 I 0.1441 0.0000 0.4997 1
I2 I 0.6729 0.5000 0.6123 1

#z
# Ag2PbI, relaxed, DFT PBE
# - calculated volume (Å³/cell) = 439.68
# - DOS(E_F) (states/eV per cell) = 5.42
data_Ag2PbI
_chemical_formula_sum 'Ag8 Pb4 I4'
_cell_length_a 8.1166
_cell_length_b 8.1166
_cell_length_c 6.6739
_cell_angle_alpha 90.00
_cell_angle_beta 90.00
_cell_angle_gamma 90.00
_space_group_name_H-M_alt 'I -4 2 d'
_space_group_IT_number 122
_space_group_name_Hall 'I -4 2bw'
loop_
_atom_site_label
_atom_site_type_symbol
_atom_site_fract_x
_atom_site_fract_y
_atom_site_fract_z
_atom_site_occupancy
Ag1 Ag 0.2450 0.2500 0.1250 1
Pb1 Pb 0.0000 0.0000 0.0000 1
I1 I 0.0000 0.0000 0.5000 1

Stability, descending: #x, #w, #y, #z